HfFe2NiW | PBE | relaxed

The calculation puts the formation enthalpy at 0 K at 1.525 eV per atom. As for the space-group type: P4/mmm (123). As for the density of states at the Fermi level: 0.9881 states/eV/atom.

a = 4.3914 Å, b = 5.0647 Å, c = 4.3914 Å
α = 90.00°, β = 90.00°, γ = 90.00°
Closest atoms and distances in Å follow each position.
Sites, in units of the cell vectors:
1 Ni 0.5000 0.5000 0.5000  4 Hf 3.11, 8 Fe 3.35
2 Hf 0.0000 0.5000 0.0000  2 W 2.53
3 Fe 0.0000 0.0000 0.5000  2 W 2.20
4 Fe 0.5000 0.0000 0.0000  2 W 2.20
5 W 0.0000 0.0000 0.0000  4 Fe 2.20